## AlCrSbO6 (PBE+U)

Data for crystalline AlCrSbO6 at its relaxed geometry.

a = 4.5429 Å, b = 4.5429 Å, c = 9.0309 Å
α = 90.00°, β = 90.00°, γ = 90.00°
Closest atoms and distances in Å follow each position.
Fractional coordinates of all 18 atoms:
O 0.6888 0.6888 0.6691  1 Al 1.90, 1 Cr 1.95, 1 Sb 2.00
O 0.7996 0.2004 0.8371  1 Al 1.93, 1 Cr 1.96, 1 Sb 2.00
O 0.1981 0.8019 0.4944  1 Cr 1.94, 1 Al 1.94, 1 Sb 2.01
O 0.2996 0.2996 0.3371  1 Al 1.93, 1 Cr 1.96, 1 Sb 2.00
O 0.2004 0.7996 0.8371  1 Al 1.93, 1 Cr 1.96, 1 Sb 2.00
O 0.6981 0.6981 0.9944  1 Cr 1.94, 1 Al 1.94, 1 Sb 2.01
O 0.8019 0.1981 0.4944  1 Cr 1.94, 1 Al 1.94, 1 Sb 2.01
O 0.1888 0.8112 0.1691  1 Al 1.90, 1 Cr 1.95, 1 Sb 2.00
O 0.3112 0.3112 0.6691  1 Al 1.90, 1 Cr 1.95, 1 Sb 2.00
O 0.3019 0.3019 0.9944  1 Cr 1.94, 1 Al 1.94, 1 Sb 2.01
O 0.8112 0.1888 0.1691  1 Al 1.90, 1 Cr 1.95, 1 Sb 2.00
O 0.7004 0.7004 0.3371  1 Al 1.93, 1 Cr 1.96, 1 Sb 2.00
Sb 0.0000 0.0000 0.6671  6 O 2.00-2.01
Sb 0.5000 0.5000 0.1671  6 O 2.00-2.01
Cr 0.5000 0.5000 0.5002  6 O 1.94-1.96
Cr 0.0000 0.0000 0.0002  6 O 1.94-1.96
Al 0.5000 0.5000 0.8316  6 O 1.90-1.94
Al 0.0000 0.0000 0.3316  6 O 1.90-1.94

Summary:
- mass density (g/cm³) = 5.29
- final energy (eV per atom) = -6.932
- calculated volume (Å³/atom) = 10.4
- space-group type = P4_2nm, No. 102